[1]
Computed, not measured: a relaxed AcAu4Br crystal at the PBE level of DFT.

Lattice parameters (Å, degrees): 5.7986 5.7986 5.7986 60.00 60.00 60.00
Last column: nearest neighbours and their distance in Å.
Positions (direct):
Au  0.6245  0.1265  0.6245  6 Au 2.89-2.91
Ac  0.0000  0.0000  0.0000  12 Au 3.40, 4 Br 3.55
Au  0.6245  0.6245  0.6245  6 Au 2.89-2.91
Au  0.1265  0.6245  0.6245  6 Au 2.89-2.91
Au  0.6245  0.6245  0.1265  6 Au 2.89-2.91
Br  0.2500  0.2500  0.2500  12 Au 3.40, 4 Ac 3.55

Summary:
- Volume: 138 Å³/cell
- Raw formation energy: -0.553 eV per atom
- VASP energy: -22.21 eV per cell

***

[2]
Computed, not measured: a relaxed AcAuBr crystal at the PBE level of DFT.

Lattice parameters (Å, degrees): 4.7421 4.7421 10.9590 89.68 89.68 61.56
Last column: nearest neighbours and their distance in Å.
Positions (direct):
Au  0.6692  0.6692  0.5049  3 Au 2.76
Ac  0.0193  0.0193  0.3245  6 Au 3.16-3.46, 3 Br 3.30-3.33
Ac  0.9807  0.9807  0.6755  6 Au 3.16-3.46, 3 Br 3.30-3.33
Br  0.6793  0.6793  0.1580  3 Ac 3.30-3.33
Br  0.3207  0.3207  0.8420  3 Ac 3.30-3.33
Au  0.3308  0.3308  0.4951  3 Au 2.76

Summary:
- Volume: 217 Å³/cell
- Raw formation energy: -1.284 eV per atom
- VASP energy: -25.82 eV per cell
- Distance to the lowest polymorph of the same formula: 0 meV/atom

***

[3]
Computed, not measured: a relaxed Ac2AuBr2 crystal at the PBE level of DFT.

Lattice parameters (Å, degrees): 4.5066 4.5066 11.5481 78.75 78.75 60.00
Last column: nearest neighbours and their distance in Å.
Positions (direct):
Au  0.0000  0.0000  0.0000  6 Ac 3.18
Ac  0.6124  0.6124  0.1627  3 Au 3.18, 3 Br 3.25
Br  0.7785  0.7785  0.6644  3 Ac 3.25
Br  0.2215  0.2215  0.3356  3 Ac 3.25
Ac  0.3876  0.3876  0.8373  3 Au 3.18, 3 Br 3.25

Summary:
- Volume: 198 Å³/cell
- Raw formation energy: -1.376 eV per atom
- VASP energy: -21.72 eV per cell

***

[4]
Computed, not measured: a relaxed Ac4AuCBr2 crystal at the PBE level of DFT.

Lattice parameters (Å, degrees): 4.2417 8.2372 7.7612 72.04 90.00 90.00
Last column: nearest neighbours and their distance in Å.
Positions (direct):
Ac  0.5000  0.3044  0.7052  2 C 2.84
Ac  0.5000  0.6956  0.2948  2 C 2.84
Ac  0.0000  0.7014  0.7317  1 C 2.80, 2 Au 3.07
Au  0.5000  0.5000  0.0000  6 Ac 3.07-3.18
Ac  0.0000  0.2986  0.2683  1 C 2.80, 2 Au 3.07
Br  0.5000  0.0000  0.5000  6 Ac 3.32-3.36
Br  0.0000  0.0000  0.0000  6 Ac 3.53-3.68
C  0.0000  0.5000  0.5000  6 Ac 2.80-2.84

Summary:
- Volume: 258 Å³/cell
- Raw formation energy: -0.804 eV per atom
- VASP energy: -38.71 eV per cell

***

[5]
Computed, not measured: a relaxed Ac8Co3AuBr4 crystal at the PBE level of DFT.

Lattice parameters (Å, degrees): 8.6656 9.6297 8.6645 116.79 120.00 90.00
Last column: nearest neighbours and their distance in Å.
Positions (direct):
Ac  0.2864  0.3063  0.0461  2 Co 2.91, 1 Au 3.08
Br  0.0000  0.0000  0.0000  6 Ac 3.56-3.60
Br  0.5000  0.0000  0.0000  6 Ac 3.45-3.46
Co  0.5000  0.5000  0.5000  6 Ac 2.91-2.96
Ac  0.7136  0.6937  0.9539  2 Co 2.91, 1 Au 3.08
Ac  0.2693  0.3082  0.5385  3 Co 2.96
Co  0.5000  0.5000  0.0000  6 Ac 2.91-2.96
Ac  0.7598  0.3064  0.5196  2 Co 2.91, 1 Au 3.08
Br  0.5000  0.0000  0.5000  6 Ac 3.56-3.60
Co  0.0000  0.5000  0.5000  6 Ac 2.91-2.96
Ac  0.7307  0.6918  0.4615  3 Co 2.96
Au  0.0000  0.5000  0.0000  6 Ac 3.08
Br  0.0000  0.0000  0.5000  6 Ac 3.56-3.60
Ac  0.7597  0.3063  0.0461  2 Co 2.91, 1 Au 3.08
Ac  0.2403  0.6937  0.9539  2 Co 2.91, 1 Au 3.08
Ac  0.2402  0.6936  0.4804  2 Co 2.91, 1 Au 3.08

Summary:
- Volume: 535 Å³/cell
- Raw formation energy: -0.826 eV per atom
- VASP energy: -77.37 eV per cell

***

[6]
Computed, not measured: a relaxed Ac4CoAuBr2 crystal at the PBE level of DFT.

Lattice parameters (Å, degrees): 4.3840 7.7614 8.5981 107.55 90.00 90.00
Last column: nearest neighbours and their distance in Å.
Positions (direct):
Br  0.5000  0.0000  0.5000  6 Ac 3.62-3.75
Ac  0.0000  0.7170  0.1936  2 Co 2.95, 1 Au 3.13
Ac  0.5000  0.2592  0.1960  1 Co 2.87, 2 Au 3.11
Au  0.0000  0.0000  0.0000  6 Ac 3.11-3.13
Ac  0.5000  0.7408  0.8040  1 Co 2.87, 2 Au 3.11
Co  0.5000  0.5000  0.0000  6 Ac 2.87-2.95
Br  0.0000  0.5000  0.5000  6 Ac 3.49-3.53
Ac  0.0000  0.2830  0.8064  2 Co 2.95, 1 Au 3.13

Summary:
- Volume: 279 Å³/cell
- Raw formation energy: -0.904 eV per atom
- VASP energy: -37.39 eV per cell

***

| no. | size of the total moment (Bohr magnetons per cell) | Fermi-level density of states (states/eV/atom) |
| --- | --- | --- |
| 1 | 0.0 | 0.567 |
| 2 | 0.0 | 0.441 |
| 3 | 0.0 | 0.767 |
| 4 | 0.0 | 0.903 |
| 5 | 0.0 | 0.633 |
| 6 | 0.0 | 0.568 |